1.
Material: ZnW
Method: DFT, PBE
State: relaxed

abc: 6.268 6.268 6.268
angles: 90.00 90.00 90.00
Space group Fd-3m (No. 227, origin choice 2)
Asymmetric unit:
Zn 0.125 0.125 0.125 [8 per cell]
W 0.125 0.125 0.625 [8 per cell]

Computed properties:
As for the relative energy among the computed polymorphs: 235 meV per atom. The formation energy is 0.40 eV/atom.

2.
Material: CsCeAuSe3
Method: DFT, PBE
State: relaxed

abc: 4.294 16.162 10.914
angles: 90.00 90.00 90.00
Space group Cmcm (No. 63)
Asymmetric unit:
Cs 0.000 0.248 0.250 [4 per cell]
Ce 0.000 0.500 0.000 [4 per cell]
Au 0.000 0.039 0.750 [4 per cell]
Se 0.000 0.118 0.544 [8 per cell]
Se 0.000 0.438 0.750 [4 per cell]

Computed properties:
Its uncorrected formation energy is -1.261 eV per atom.

- Which formula does entry 2 have?
  CsCeAuSe3